DFT (PBE) results for an optimized crystal structure of OsC3N.

Calculated values
Offset from the most stable computed form in meV per atom: 0.0
DOS(E_F) in states/eV/atom: 0.365
Space group: Pm-3m (221)
Total magnetic moment in μB per formula unit: 1.00

```
OsC3N
1.0
3.9842 0.0000 0.0000
0.0000 3.9842 0.0000
0.0000 0.0000 3.9842
C N Os
3 1 1
direct
0.0000 0.0000 0.5000
0.5000 0.0000 0.0000
0.0000 0.5000 0.0000
0.5000 0.5000 0.5000
0.0000 0.0000 0.0000
```



DFT (PBE) results for an optimized crystal structure of OsCN.

Calculated values
Offset from the most stable computed form in meV per atom: 130.7
DOS(E_F) in states/eV/atom: 0.381
Space group: Imm2 (44)
Total magnetic moment in μB per formula unit: 0.00

```
OsCN
1.0
2.8128 0.0000 0.0000
0.0000 2.4081 0.0000
0.0000 0.0000 8.8819
Os C N
2 2 2
direct
0.0000 0.0000 0.2951
0.5000 0.5000 0.7951
0.0000 0.5000 0.6095
0.5000 0.0000 0.1095
0.0000 0.0000 0.5246
0.5000 0.5000 0.0246
```



DFT (PBE) results for an optimized crystal structure of OsC3N.

Calculated values
Offset from the most stable computed form in meV per atom: 295.7
DOS(E_F) in states/eV/atom: 0.740
Space group: Pm-3m (221)
Total magnetic moment in μB per formula unit: 0.00

```
OsC3N
1.0
-3.2824 -0.0717 0.9629
-0.9453 -0.4577 -3.2563
0.1971 -3.3899 0.4193
N C Os
1 3 1
direct
0.0000 0.0000 0.0000
0.0000 0.0000 0.5000
0.5000 0.0000 0.0000
0.0000 0.5000 0.0000
0.5000 0.5000 0.5000
```



DFT (PBE) results for an optimized crystal structure of Os3CN.

Calculated values
Offset from the most stable computed form in meV per atom: 0.0
DOS(E_F) in states/eV/atom: 0.988
Space group: Pm-3m (221)
Total magnetic moment in μB per formula unit: 0.89

```
Os3CN
1.0
-1.2449 3.3926 1.7335
-2.4213 -2.1125 2.3956
2.9414 -0.3031 2.7056
Os N C
3 1 1
direct
0.5000 0.0000 0.0000
0.0000 0.5000 0.0000
0.0000 0.0000 0.5000
0.5000 0.5000 0.5000
0.0000 0.0000 0.0000
```



DFT (PBE) results for an optimized crystal structure of OsC2N.

Calculated values
DOS(E_F) in states/eV/atom: 0.293
Space group: I-42d (122)
Total magnetic moment in μB per formula unit: 0.00

```
OsC2N
1.0
-2.0044 -2.9656 -2.6079
-1.9493 -1.8005 3.5457
-4.7038 -0.1976 0.0795
Os C N
2 4 2
direct
0.7500 0.2500 0.5000
0.0000 0.0000 0.0000
0.8750 0.7908 0.7500
0.3750 0.4592 0.7500
0.2092 0.6250 0.2500
0.5408 0.1250 0.2500
0.2500 0.7500 0.5000
0.5000 0.5000 0.0000
```



DFT (PBE) results for an optimized crystal structure of OsCN.

Calculated values
Offset from the most stable computed form in meV per atom: 0.0
DOS(E_F) in states/eV/atom: 0.587
Space group: P6mm (183)
Total magnetic moment in μB per formula unit: 0.00

```
OsCN
1.0
-2.7208 0.4727 -0.4544
1.4314 -1.6903 -1.7107
-1.1829 -3.9802 2.9428
C N Os
1 1 1
direct
0.0000 0.0000 0.2371
0.0000 0.0000 0.0026
0.0000 0.0000 0.6189
```



DFT (PBE) results for an optimized crystal structure of OsCN.

Calculated values
Offset from the most stable computed form in meV per atom: 30.2
DOS(E_F) in states/eV/atom: 0.566
Space group: C2 (5)
Total magnetic moment in μB per formula unit: 0.00

```
OsCN
1.0
2.8770 0.0000 0.0245
0.0000 9.8008 0.0000
-0.9264 0.0000 2.1911
N C Os
2 2 2
direct
0.5000 0.5354 0.0000
0.5000 0.0354 0.5000
0.5000 0.4612 0.5000
0.5000 0.9612 0.0000
0.5000 0.2554 0.5000
0.5000 0.7554 0.0000
```



DFT (PBE) results for an optimized crystal structure of OsCN.

Calculated values
Offset from the most stable computed form in meV per atom: 75.0
DOS(E_F) in states/eV/atom: 0.409
Space group: Amm2 (38)
Total magnetic moment in μB per formula unit: 0.00

```
OsCN
1.0
2.7600 0.0000 0.0000
0.0000 2.4485 0.0000
0.0000 0.0000 8.2365
N Os C
2 2 2
direct
0.5000 0.5000 0.5135
0.5000 0.0000 0.0136
0.0000 0.0000 0.8062
0.0000 0.5000 0.3062
0.5000 0.0000 0.6096
0.5000 0.5000 0.1096
```



DFT (PBE) results for an optimized crystal structure of OsCN3.

Calculated values
DOS(E_F) in states/eV/atom: 0.955
Space group: Pm-3m (221)
Total magnetic moment in μB per formula unit: 0.00

```
OsCN3
1.0
-3.4221 1.2072 -1.1935
1.0581 -0.5833 -3.6239
-1.3274 -3.5770 0.1882
N C Os
3 1 1
direct
0.5000 0.0000 0.0000
0.0000 0.0000 0.5000
0.0000 0.5000 0.0000
0.5000 0.5000 0.5000
0.0000 0.0000 0.0000
```



DFT (PBE) results for an optimized crystal structure of OsCN.

Calculated values
Offset from the most stable computed form in meV per atom: 26.1
DOS(E_F) in states/eV/atom: 0.691
Space group: Pmm2 (25)
Total magnetic moment in μB per formula unit: 0.00

```
OsCN
1.0
-2.5988 1.0650 -0.1758
-0.4124 -1.3875 -2.3100
-1.5201 -3.3342 2.2740
C Os N
1 1 1
direct
0.0000 0.5000 0.7359
0.0000 0.0000 0.3809
0.0000 0.5000 0.0247
```



DFT (PBE) results for an optimized crystal structure of OsCN.

Calculated values
Offset from the most stable computed form in meV per atom: 115.9
DOS(E_F) in states/eV/atom: 0.433
Space group: Cm (8)
Total magnetic moment in μB per formula unit: 0.00

```
OsCN
1.0
4.0145 0.0000 0.0038
0.0000 2.7677 0.0000
-3.4606 0.0000 5.5483
N C Os
2 2 2
direct
0.5961 0.0000 0.9788
0.5961 0.5000 0.4788
0.2654 0.5000 0.4938
0.2654 0.0000 0.9938
0.0519 0.0000 0.6299
0.0519 0.5000 0.1299
```



DFT (PBE) results for an optimized crystal structure of OsCN.

Calculated values
Offset from the most stable computed form in meV per atom: 184.9
DOS(E_F) in states/eV/atom: 0.345
Space group: P1 (1)
Total magnetic moment in μB per formula unit: 0.00

```
OsCN
1.0
2.8618 -0.0067 0.0015
0.0158 3.4895 -0.0094
-0.0008 1.2025 3.8036
Os N C
1 1 1
direct
0.2962 0.2321 0.4760
0.2962 0.1157 0.9819
0.2962 0.7937 0.2505
```



Looking at calculated total energy for the records above, in order, we have -6.647; -8.860; -6.352; -8.422; -8.169; -8.991; -8.961; -8.916; -6.614; -8.965; -8.875; -8.806 eV per atom.